Entry 1:
DFT (PBE-GGA) results for Tb3Pr4Er2 after structural relaxation.

* calculated volume: 34.33 Å³ per atom
* crystal system: monoclinic
* ΔH_f (0 K): 85 meV/atom
* symmetry: C2/m, No. 12
* D(E_F): 12.83 states/eV/f.u.
* E_tot: -4.597 eV per atom
* M_tot: 0.0 Bohr magnetons per cell
* E above lowest polymorph: 21 meV/atom

a b c (Å): 3.669 6.720 14.595
angles (deg): 64.30 90.00 105.84
Positions (direct):
1 Tb 0.380 0.760 0.612
2 Tb 0.000 0.000 0.000
3 Tb 0.620 0.240 0.388
4 Pr 0.650 0.299 0.128
5 Pr 0.108 0.217 0.608
6 Pr 0.892 0.783 0.392
7 Pr 0.350 0.701 0.872
8 Er 0.339 0.678 0.209
9 Er 0.661 0.322 0.791


Entry 2:
DFT (PBE-GGA) results for TbPr12Er5 after structural relaxation.

* calculated volume: 34.44 Å³ per atom
* crystal system: monoclinic
* ΔH_f (0 K): 25 meV/atom
* symmetry: P2/m, No. 10
* D(E_F): 29.41 states/eV/f.u.
* E_tot: -4.686 eV per atom
* M_tot: 0.0 Bohr magnetons per cell

a b c (Å): 15.417 10.932 5.179
angles (deg): 90.00 90.01 45.26
Positions (direct):
1 Tb 0.000 0.000 0.000
2 Pr 0.835 0.000 0.500
3 Pr 0.165 0.000 0.500
4 Pr 0.664 0.000 0.000
5 Pr 0.336 0.000 0.000
6 Pr 0.331 0.666 0.000
7 Pr 0.002 0.667 0.000
8 Pr 0.998 0.333 0.000
9 Pr 0.669 0.334 0.000
10 Pr 0.498 0.333 0.500
11 Pr 0.831 0.667 0.500
12 Pr 0.169 0.333 0.500
13 Pr 0.502 0.667 0.500
14 Er 0.500 0.000 0.500
15 Er 0.167 0.666 0.500
16 Er 0.833 0.334 0.500
17 Er 0.667 0.666 0.000
18 Er 0.333 0.334 0.000


Entry 3:
DFT (PBE-GGA) results for Tb5PrEr after structural relaxation.

* calculated volume: 32.86 Å³ per atom
* crystal system: monoclinic
* ΔH_f (0 K): 186 meV/atom
* symmetry: C2/c, No. 15
* D(E_F): 9.63 states/eV/f.u.
* E_tot: -4.456 eV per atom
* M_tot: 0.0 Bohr magnetons per cell
* E above lowest polymorph: 0 meV/atom

a b c (Å): 6.788 6.788 13.794
angles (deg): 61.52 61.52 60.13
Positions (direct):
1 Tb 0.170 0.390 0.749
2 Tb 0.653 0.693 0.500
3 Tb 0.390 0.170 0.249
4 Tb 0.170 0.830 0.750
5 Tb 0.307 0.347 0.000
6 Tb 0.693 0.653 0.000
7 Tb 0.830 0.170 0.250
8 Tb 0.610 0.830 0.751
9 Tb 0.347 0.307 0.500
10 Tb 0.830 0.610 0.251
11 Pr 0.000 0.000 0.000
12 Pr 0.000 0.000 0.500
13 Er 0.722 0.278 0.750
14 Er 0.278 0.722 0.250


Entry 4:
DFT (PBE-GGA) results for Tb5PrEr2 after structural relaxation.

* calculated volume: 33.21 Å³ per atom
* crystal system: orthorhombic
* ΔH_f (0 K): 142 meV/atom
* symmetry: Cmcm, No. 63
* D(E_F): 11.66 states/eV/f.u.
* E_tot: -4.490 eV per atom
* M_tot: 0.0 Bohr magnetons per cell
* E above lowest polymorph: 125 meV/atom

a b c (Å): 5.665 8.650 11.478
angles (deg): 90.00 90.00 109.12
Positions (direct):
1 Tb 0.957 0.915 0.887
2 Tb 0.957 0.914 0.613
3 Tb 0.413 0.825 0.422
4 Tb 0.413 0.825 0.078
5 Tb 0.604 0.208 0.250
6 Tb 0.396 0.792 0.750
7 Tb 0.587 0.175 0.578
8 Tb 0.587 0.175 0.922
9 Tb 0.043 0.085 0.113
10 Tb 0.043 0.086 0.387
11 Pr 0.773 0.545 0.750
12 Pr 0.227 0.455 0.250
13 Er 0.787 0.574 0.420
14 Er 0.787 0.575 0.080
15 Er 0.213 0.426 0.580
16 Er 0.213 0.425 0.920


Entry 5:
DFT (PBE-GGA) results for Tb5Pr2Er5 after structural relaxation.

* calculated volume: 31.99 Å³ per atom
* crystal system: monoclinic
* ΔH_f (0 K): 21 meV/atom
* symmetry: C2/m, No. 12
* D(E_F): 17.13 states/eV/f.u.
* E_tot: -4.606 eV per atom
* M_tot: 0.0 Bohr magnetons per cell

a b c (Å): 5.037 7.970 10.693
angles (deg): 72.59 76.38 71.58
Positions (direct):
1 Tb 0.500 0.500 0.500
2 Tb 0.334 0.332 0.000
3 Tb 0.415 0.920 0.251
4 Tb 0.585 0.080 0.749
5 Tb 0.666 0.668 0.000
6 Pr 0.917 0.417 0.749
7 Pr 0.083 0.583 0.251
8 Er 0.832 0.836 0.500
9 Er 0.249 0.753 0.750
10 Er 0.751 0.247 0.250
11 Er 0.168 0.164 0.500
12 Er 0.000 0.000 0.000


Entry 6:
DFT (PBE-GGA) results for Tb3PrEr3 after structural relaxation.

* calculated volume: 33.39 Å³ per atom
* crystal system: trigonal
* ΔH_f (0 K): 230 meV/atom
* symmetry: R-3, No. 148
* D(E_F): 11.44 states/eV/f.u.
* E_tot: -4.393 eV per atom
* M_tot: 0.0 Bohr magnetons per cell
* E above lowest polymorph: 0 meV/atom

a b c (Å): 8.801 8.801 8.801
angles (deg): 58.67 58.67 58.67
Positions (direct):
1 Tb 0.712 0.173 0.936
2 Tb 0.173 0.936 0.712
3 Tb 0.936 0.712 0.173
4 Tb 0.064 0.288 0.827
5 Tb 0.827 0.064 0.288
6 Tb 0.288 0.827 0.064
7 Pr 0.351 0.351 0.351
8 Pr 0.649 0.649 0.649
9 Er 0.730 0.572 0.061
10 Er 0.061 0.730 0.572
11 Er 0.572 0.061 0.730
12 Er 0.428 0.939 0.270
13 Er 0.939 0.270 0.428
14 Er 0.270 0.428 0.939


Entry 7:
DFT (PBE-GGA) results for TbPr5Er4 after structural relaxation.

* calculated volume: 33.33 Å³ per atom
* crystal system: monoclinic
* ΔH_f (0 K): 20 meV/atom
* symmetry: C2/m, No. 12
* D(E_F): 12.61 states/eV/f.u.
* E_tot: -4.658 eV per atom
* M_tot: 0.0 Bohr magnetons per cell
* E above lowest polymorph: 0 meV/atom

a b c (Å): 3.620 10.240 9.539
angles (deg): 105.96 100.92 89.99
Positions (direct):
1 Tb 0.500 0.000 0.000
2 Pr 0.700 0.601 0.401
3 Pr 0.100 0.806 0.200
4 Pr 0.900 0.194 0.800
5 Pr 0.500 0.500 0.000
6 Pr 0.300 0.399 0.599
7 Er 0.700 0.100 0.399
8 Er 0.101 0.295 0.202
9 Er 0.300 0.900 0.601
10 Er 0.899 0.705 0.798


Entry 8:
DFT (PBE-GGA) results for TbPr2Er12 after structural relaxation.

* calculated volume: 31.77 Å³ per atom
* crystal system: monoclinic
* ΔH_f (0 K): 104 meV/atom
* symmetry: P2/m, No. 10
* D(E_F): 25.37 states/eV/f.u.
* E_tot: -4.492 eV per atom
* M_tot: 0.0 Bohr magnetons per cell

a b c (Å): 6.622 6.622 24.582
angles (deg): 83.24 83.24 115.00
Positions (direct):
1 Tb 0.500 0.000 0.000
2 Tb 0.000 0.500 0.000
3 Pr 0.540 0.040 0.280
4 Pr 0.040 0.540 0.279
5 Pr 0.960 0.460 0.720
6 Pr 0.460 0.960 0.721
7 Er 0.394 0.394 0.809
8 Er 0.894 0.894 0.809
9 Er 0.550 0.549 0.934
10 Er 0.351 0.851 0.866
11 Er 0.003 0.002 0.330
12 Er 0.149 0.649 0.134
13 Er 0.822 0.322 0.570
14 Er 0.502 0.503 0.330
15 Er 0.049 0.050 0.934
16 Er 0.950 0.951 0.066
17 Er 0.333 0.334 0.555
18 Er 0.678 0.178 0.430
19 Er 0.998 0.997 0.670
20 Er 0.167 0.166 0.445
21 Er 0.451 0.450 0.066
22 Er 0.666 0.667 0.445
23 Er 0.834 0.833 0.555
24 Er 0.106 0.106 0.191
25 Er 0.323 0.823 0.570
26 Er 0.497 0.498 0.670
27 Er 0.852 0.352 0.866
28 Er 0.606 0.606 0.191
29 Er 0.177 0.677 0.430
30 Er 0.648 0.148 0.134